No. 1
# KBaCa2Au

A geometry-optimized KBaCa2Au structure (PBE, Alexandria).

Calculated values
Total magnetization: 0.000 μB per formula unit
Energy relative to the elements: -284 meV per atom

Cell: 5.989 5.989 6.441 Å, 90.00 90.00 90.00°
Positions (direct):
1 Ca 0.000 0.500 0.000
2 Ca 0.500 0.000 0.000
3 Ba 0.000 0.000 0.500
4 Au 0.000 0.000 0.000
5 K 0.500 0.500 0.500

No. 2
# Ba2CaLaAu

A geometry-optimized Ba2CaLaAu structure (PBE, Alexandria).

Calculated values
Total magnetization: 0.100 μB per formula unit
Energy relative to the elements: -150 meV per atom

Cell: 6.488 6.488 5.874 Å, 90.00 90.00 90.00°
Positions (direct):
1 Au 0.000 0.000 0.000
2 Ba 0.000 0.500 0.000
3 Ba 0.500 0.000 0.000
4 La 0.000 0.000 0.500
5 Ca 0.500 0.500 0.500

No. 3
# BaLiCaAu2

A geometry-optimized BaLiCaAu2 structure (PBE, Alexandria).

Calculated values
Total magnetization: 0.000 μB per formula unit
Energy relative to the elements: -604 meV per atom

Cell: 4.550 4.550 7.513 Å, 107.63 107.63 90.00°
Positions (direct):
1 Ba 0.000 0.000 0.000
2 Li 0.250 0.750 0.500
3 Ca 0.750 0.250 0.500
4 Au 0.392 0.392 0.784
5 Au 0.608 0.608 0.216

No. 4
# Ba2LiCaAu

A geometry-optimized Ba2LiCaAu structure (PBE, Alexandria).

Calculated values
Total magnetization: 0.000 μB per formula unit
Energy relative to the elements: -212 meV per atom

Cell: 6.472 6.472 5.203 Å, 90.00 90.00 90.00°
Positions (direct):
1 Ca 0.500 0.500 0.500
2 Ba 0.500 0.000 0.000
3 Ba 0.000 0.500 0.000
4 Au 0.000 0.000 0.000
5 Li 0.000 0.000 0.500

No. 5
# Ba2LiCaAu

A geometry-optimized Ba2LiCaAu structure (PBE, Alexandria).

Calculated values
Total magnetization: 0.000 μB per formula unit
Energy relative to the elements: -245 meV per atom

Cell: 6.414 6.414 5.824 Å, 90.00 90.00 90.00°
Positions (direct):
1 Ba 0.000 0.500 0.000
2 Ba 0.500 0.000 0.000
3 Ca 0.000 0.000 0.500
4 Li 0.500 0.500 0.500
5 Au 0.000 0.000 0.000

No. 6
# BaLiCaAu

A geometry-optimized BaLiCaAu structure (PBE, Alexandria).

Calculated values
Total magnetization: 0.000 μB per formula unit
Energy relative to the elements: -396 meV per atom

Cell: 4.548 4.548 8.124 Å, 73.75 73.75 60.00°
Positions (direct):
1 Au 0.605 0.605 0.185
2 Ba 0.835 0.835 0.496
3 Ca 0.016 0.016 0.953
4 Li 0.271 0.271 0.188

No. 7
# BaLiCaAu

A geometry-optimized BaLiCaAu structure (PBE, Alexandria).

Calculated values
Total magnetization: 0.000 μB per formula unit
Energy relative to the elements: -320 meV per atom

Cell: 5.581 5.581 5.581 Å, 60.00 60.00 60.00°
Positions (direct):
1 Li 0.500 0.500 0.500
2 Au 0.000 0.000 0.000
3 Ba 0.250 0.250 0.250
4 Ca 0.750 0.750 0.750

No. 8
# BaCaMg2Au4

A geometry-optimized BaCaMg2Au4 structure (PBE, Alexandria).

Calculated values
Total magnetization: 0.000 μB per formula unit
Energy relative to the elements: -669 meV per atom

Cell: 4.729 4.729 10.727 Å, 77.26 77.26 60.00°
Positions (direct):
1 Mg 0.760 0.760 0.721
2 Mg 0.240 0.240 0.279
3 Au 0.403 0.403 0.791
4 Au 0.888 0.888 0.337
5 Au 0.597 0.597 0.209
6 Au 0.112 0.112 0.663
7 Ba 0.000 0.000 0.000
8 Ca 0.500 0.500 0.500

No. 9
# Ba2CaMgAu

A geometry-optimized Ba2CaMgAu structure (PBE, Alexandria).

Calculated values
Total magnetization: 0.000 μB per formula unit
Energy relative to the elements: -233 meV per atom

Cell: 6.442 6.442 5.299 Å, 90.00 90.00 90.00°
Positions (direct):
1 Ba 0.500 0.000 0.000
2 Ba 0.000 0.500 0.000
3 Ca 0.500 0.500 0.500
4 Mg 0.000 0.000 0.500
5 Au 0.000 0.000 0.000

No. 10
# Ba3Ca2Mg2Au4

A geometry-optimized Ba3Ca2Mg2Au4 structure (PBE, Alexandria).

Calculated values
Total magnetization: 0.000 μB per formula unit
Energy relative to the elements: -561 meV per atom

Cell: 4.878 4.878 17.585 Å, 90.00 90.00 120.00°
Positions (direct):
1 Au 0.667 0.333 0.618
2 Au 0.333 0.667 0.382
3 Au 0.333 0.667 0.867
4 Au 0.667 0.333 0.133
5 Ca 0.333 0.667 0.563
6 Ca 0.667 0.333 0.437
7 Mg 0.667 0.333 0.865
8 Mg 0.333 0.667 0.135
9 Ba 0.000 0.000 0.734
10 Ba 0.000 0.000 0.000
11 Ba 0.000 0.000 0.266

No. 11
# BaCaMg2Au

A geometry-optimized BaCaMg2Au structure (PBE, Alexandria).

Calculated values
Total magnetization: 0.000 μB per formula unit
Energy relative to the elements: -281 meV per atom

Cell: 5.360 5.360 5.692 Å, 90.00 90.00 90.00°
Positions (direct):
1 Mg 0.500 0.000 0.000
2 Mg 0.000 0.500 0.000
3 Ca 0.000 0.000 0.500
4 Ba 0.500 0.500 0.500
5 Au 0.000 0.000 0.000

No. 12
# Ba2CaMgAu

A geometry-optimized Ba2CaMgAu structure (PBE, Alexandria).

Calculated values
Total magnetization: 0.000 μB per formula unit
Energy relative to the elements: -222 meV per atom

Cell: 6.364 6.364 5.770 Å, 90.00 90.00 90.00°
Positions (direct):
1 Ba 0.000 0.500 0.000
2 Ba 0.500 0.000 0.000
3 Au 0.000 0.000 0.000
4 Ca 0.000 0.000 0.500
5 Mg 0.500 0.500 0.500

No. 13
# BaCa2MgAu

A geometry-optimized BaCa2MgAu structure (PBE, Alexandria).

Calculated values
Total magnetization: 0.000 μB per formula unit
Energy relative to the elements: -304 meV per atom

Cell: 5.800 5.800 5.433 Å, 90.00 90.00 90.00°
Positions (direct):
1 Ca 0.500 0.000 0.000
2 Ca 0.000 0.500 0.000
3 Ba 0.500 0.500 0.500
4 Au 0.000 0.000 0.000
5 Mg 0.000 0.000 0.500

No. 14
# BaCa2MgAu

A geometry-optimized BaCa2MgAu structure (PBE, Alexandria).

Calculated values
Total magnetization: 0.000 μB per formula unit
Energy relative to the elements: -229 meV per atom

Cell: 5.793 5.793 6.226 Å, 90.00 90.00 90.00°
Positions (direct):
1 Ba 0.000 0.000 0.500
2 Au 0.000 0.000 0.000
3 Mg 0.500 0.500 0.500
4 Ca 0.500 0.000 0.000
5 Ca 0.000 0.500 0.000

No. 15
# Ba2CaAuN

A geometry-optimized Ba2CaAuN structure (PBE, Alexandria).

Calculated values
Energy: -3.98 eV per atom
Total magnetization: 0.000 μB per formula unit

Cell: 5.654 5.654 4.767 Å, 90.00 90.00 90.00°
Positions (direct):
1 N 0.000 0.000 0.000
2 Ba 0.500 0.000 0.000
3 Ba 0.000 0.500 0.000
4 Au 0.500 0.500 0.500
5 Ca 0.000 0.000 0.500

No. 16
# Ba2NaCaAu

A geometry-optimized Ba2NaCaAu structure (PBE, Alexandria).

Calculated values
Total magnetization: 0.000 μB per formula unit
Energy relative to the elements: -306 meV per atom

Cell: 6.466 6.466 5.872 Å, 90.00 90.00 90.00°
Positions (direct):
1 Ba 0.000 0.500 0.000
2 Ba 0.500 0.000 0.000
3 Ca 0.000 0.000 0.500
4 Au 0.000 0.000 0.000
5 Na 0.500 0.500 0.500

No. 17
# Ba2NaCaAu

A geometry-optimized Ba2NaCaAu structure (PBE, Alexandria).

Calculated values
Total magnetization: 0.000 μB per formula unit
Energy relative to the elements: -199 meV per atom

Cell: 6.419 6.419 5.799 Å, 90.00 90.00 90.00°
Positions (direct):
1 Ba 0.000 0.500 0.000
2 Ba 0.500 0.000 0.000
3 Ca 0.500 0.500 0.500
4 Au 0.000 0.000 0.000
5 Na 0.000 0.000 0.500

No. 18
# BaNa2CaAu

A geometry-optimized BaNa2CaAu structure (PBE, Alexandria).

Calculated values
Total magnetization: 0.001 μB per formula unit
Energy relative to the elements: -142 meV per atom

Cell: 5.847 5.847 5.757 Å, 90.00 90.00 90.00°
Positions (direct):
1 Na 0.000 0.500 0.000
2 Na 0.500 0.000 0.000
3 Au 0.000 0.000 0.000
4 Ba 0.500 0.500 0.500
5 Ca 0.000 0.000 0.500

No. 19
# Ba3CaAu2O6

A geometry-optimized Ba3CaAu2O6 structure (PBE, Alexandria).

Calculated values
Energy: -5.17 eV per atom
Total magnetization: 0.001 μB per formula unit

Cell: 6.224 6.224 6.897 Å, 90.00 90.00 120.00°
Positions (direct):
1 Au 0.333 0.667 0.137
2 Au 0.667 0.333 0.863
3 O 0.167 0.833 0.303
4 O 0.833 0.167 0.697
5 O 0.167 0.334 0.303
6 O 0.334 0.167 0.697
7 O 0.666 0.833 0.303
8 O 0.833 0.666 0.697
9 Ba 0.333 0.667 0.630
10 Ba 0.000 0.000 0.000
11 Ba 0.667 0.333 0.370
12 Ca 0.000 0.000 0.500

No. 20
# BaCa2AuO

A geometry-optimized BaCa2AuO structure (PBE, Alexandria).

Calculated values
Energy: -4.21 eV per atom
Total magnetization: 0.000 μB per formula unit

Cell: 4.719 4.719 5.701 Å, 90.00 90.00 90.00°
Positions (direct):
1 O 0.000 0.000 0.000
2 Ba 0.000 0.000 0.500
3 Ca 0.500 0.000 0.000
4 Ca 0.000 0.500 0.000
5 Au 0.500 0.500 0.500

No. 21
# Ba2CaAu2O6

A geometry-optimized Ba2CaAu2O6 structure (PBE, Alexandria).

Calculated values
Energy: -5.15 eV per atom
Total magnetization: 0.007 μB per formula unit

Cell: 6.224 6.224 7.154 Å, 64.22 64.22 60.00°
Positions (direct):
1 Au 0.582 0.582 0.255
2 Au 0.418 0.418 0.745
3 O 0.202 0.761 0.276
4 O 0.761 0.202 0.276
5 O 0.239 0.798 0.724
6 O 0.798 0.239 0.724
7 O 0.761 0.761 0.276
8 O 0.239 0.239 0.724
9 Ba 0.211 0.211 0.367
10 Ba 0.789 0.789 0.633
11 Ca 0.000 0.000 0.000

No. 22
# BaCaAuO2

A geometry-optimized BaCaAuO2 structure (PBE, Alexandria).

Calculated values
Energy: -5.15 eV per atom
Total magnetization: 0.000 μB per formula unit

Cell: 5.548 6.454 6.362 Å, 98.25 90.00 90.00°
Positions (direct):
1 O 0.588 0.754 0.975
2 O 0.412 0.754 0.475
3 O 0.412 0.246 0.025
4 O 0.588 0.246 0.525
5 Ba 0.287 0.500 0.750
6 Ba 0.713 0.500 0.250
7 Au 0.000 0.000 0.500
8 Au 0.000 0.000 0.000
9 Ca 0.535 0.000 0.750
10 Ca 0.465 0.000 0.250

No. 23
# Ba2CaAuO4

A geometry-optimized Ba2CaAuO4 structure (PBE, Alexandria).

Calculated values
Energy: -5.46 eV per atom
Total magnetization: 1.033 μB per formula unit

Cell: 5.822 5.822 5.822 Å, 104.53 112.00 112.00°
Last column: magnetic moment on the atom in μB.
Positions (direct):
1 Au 0.000 0.500 0.500  0.41
2 O 0.461 0.838 0.732  0.12
3 O 0.106 0.268 0.729  0.12
4 O 0.539 0.271 0.377  0.12
5 O 0.894 0.623 0.162  0.12
6 Ca 0.500 0.250 0.750  0.01
7 Ba 0.500 0.750 0.250  -0.01
8 Ba 0.000 0.000 0.000  0.03

No. 24
# BaCaPb2Au4

A geometry-optimized BaCaPb2Au4 structure (PBE, Alexandria).

Calculated values
Total magnetization: 0.000 μB per formula unit
Energy relative to the elements: -505 meV per atom

Cell: 5.087 5.087 9.874 Å, 75.07 75.07 60.00°
Positions (direct):
1 Pb 0.240 0.240 0.279
2 Pb 0.760 0.760 0.721
3 Au 0.133 0.133 0.600
4 Au 0.606 0.606 0.182
5 Au 0.394 0.394 0.818
6 Au 0.867 0.867 0.400
7 Ba 0.000 0.000 0.000
8 Ca 0.500 0.500 0.500

No. 25
# BaCa2PrAu4

A geometry-optimized BaCa2PrAu4 structure (PBE, Alexandria).

Calculated values
Total magnetization: 0.000 μB per formula unit
Energy relative to the elements: -747 meV per atom

Cell: 5.223 5.223 9.751 Å, 74.47 74.47 60.00°
Positions (direct):
1 Au 0.390 0.390 0.829
2 Au 0.128 0.128 0.616
3 Au 0.872 0.872 0.384
4 Au 0.610 0.610 0.171
5 Ca 0.244 0.244 0.267
6 Ca 0.756 0.756 0.733
7 Ba 0.000 0.000 0.000
8 Pr 0.500 0.500 0.500

No. 26
# Ba2CaPtAu

A geometry-optimized Ba2CaPtAu structure (PBE, Alexandria).

Calculated values
Total magnetization: 0.000 μB per formula unit
Energy relative to the elements: -456 meV per atom

Cell: 6.109 5.480 6.109 Å, 90.00 90.00 90.00°
Positions (direct):
1 Au 0.500 0.500 0.500
2 Ba 0.000 0.000 0.500
3 Ba 0.500 0.000 0.000
4 Ca 0.000 0.500 0.000
5 Pt 0.000 0.000 0.000

No. 27
# Ba2CaRhAu

A geometry-optimized Ba2CaRhAu structure (PBE, Alexandria).

Calculated values
Total magnetization: 0.000 μB per formula unit
Energy relative to the elements: -235 meV per atom

Cell: 5.946 5.946 5.406 Å, 90.00 90.00 90.00°
Positions (direct):
1 Au 0.500 0.500 0.500
2 Ba 0.000 0.500 0.000
3 Ba 0.500 0.000 0.000
4 Ca 0.000 0.000 0.500
5 Rh 0.000 0.000 0.000